A relaxed HfV3C crystal, computed with PBE.

Properties
- space-group type = No. 221
- formation energy (kcal/mol of atoms) = -3.49
- DFT total energy (eV per formula unit) = -47.29

a b c (Å): 4.0943 4.0943 4.0943
angles (deg): 90.00 90.00 90.00
Last column: nearest neighbours and their distance in Å.
Positions (direct):
Hf (0.0000, 0.0000, 0.0000)  12 V 2.90
V (0.0000, 0.5000, 0.5000)  2 C 2.05
V (0.5000, 0.0000, 0.5000)  2 C 2.05
V (0.5000, 0.5000, 0.0000)  2 C 2.05
C (0.5000, 0.5000, 0.5000)  6 V 2.05